[1]
VASP calculation (PBE-GGA) on Ac2La4Sm after structural relaxation. Values from VASP.

Summary:
Energy relative to the lowest polymorph listed for this composition   0.000 eV per atom
Calculated volume   539 Å³ per cell
Space group   P-1, No. 2

Structure (Quantum ESPRESSO input):
```
&SYSTEM
  ibrav = 0, nat = 14, ntyp = 3
/
ATOMIC_SPECIES
Ac 227.00 Ac.upf
La 138.91 La.upf
Sm 150.36 Sm.upf
CELL_PARAMETERS angstrom
7.587 0.000 0.000
1.895 8.217 0.000
0.030 3.397 8.652
ATOMIC_POSITIONS crystal
Ac 0.000 0.000 0.000
Ac 0.073 0.717 0.431
Ac 0.500 0.000 0.000
Ac 0.927 0.283 0.569
La 0.143 0.434 0.859
La 0.293 0.855 0.713
La 0.362 0.564 0.145
La 0.429 0.284 0.573
La 0.571 0.716 0.427
La 0.638 0.436 0.855
La 0.707 0.145 0.287
La 0.857 0.566 0.141
Sm 0.217 0.147 0.286
Sm 0.783 0.853 0.714
```

[2]
VASP calculation (PBE-GGA) on HfTi2Cd after structural relaxation. Values from VASP.

Summary:
Calculated volume   78 Å³ per cell
Space group   P4/mmm, No. 123

Structure (Quantum ESPRESSO input):
```
&SYSTEM
  ibrav = 0, nat = 4, ntyp = 3
/
ATOMIC_SPECIES
Hf 178.49 Hf.upf
Ti 47.87 Ti.upf
Cd 112.41 Cd.upf
CELL_PARAMETERS angstrom
3.050 0.000 0.000
0.000 3.050 0.000
0.000 0.000 8.369
ATOMIC_POSITIONS crystal
Hf 0.000 0.000 0.000
Ti 0.500 0.500 0.248
Ti 0.500 0.500 0.752
Cd 0.000 0.000 0.500
```

[3]
VASP calculation (PBE-GGA) on PrLu2Rh after structural relaxation. Values from VASP.

Summary:
Calculated volume   103 Å³ per cell
Space group   P4/mmm, No. 123

Structure (Quantum ESPRESSO input):
```
&SYSTEM
  ibrav = 0, nat = 4, ntyp = 3
/
ATOMIC_SPECIES
Pr 140.91 Pr.upf
Lu 174.97 Lu.upf
Rh 102.91 Rh.upf
CELL_PARAMETERS angstrom
3.438 0.000 0.000
0.000 3.438 0.000
0.000 0.000 8.702
ATOMIC_POSITIONS crystal
Pr 0.000 0.000 0.000
Lu 0.500 0.500 0.316
Lu 0.500 0.500 0.684
Rh 0.000 0.000 0.500
```

[4]
VASP calculation (PBE-GGA) on LiZn2Tc after structural relaxation. Values from VASP.

Summary:
Energy relative to the lowest polymorph listed for this composition   0.086 eV per atom
Calculated volume   175 Å³ per cell
Space group   R-3m, No. 166

Structure (Quantum ESPRESSO input):
```
&SYSTEM
  ibrav = 0, nat = 12, ntyp = 3
/
ATOMIC_SPECIES
Li 6.94 Li.upf
Zn 65.41 Zn.upf
Tc 98.00 Tc.upf
CELL_PARAMETERS angstrom
2.731 0.000 0.000
-1.366 2.365 0.000
0.000 0.000 27.148
ATOMIC_POSITIONS crystal
Li 0.000 0.000 0.000
Li 0.333 0.667 0.667
Li 0.667 0.333 0.333
Zn 0.000 0.000 0.249
Zn 0.000 0.000 0.751
Zn 0.333 0.667 0.417
Zn 0.333 0.667 0.916
Zn 0.667 0.333 0.084
Zn 0.667 0.333 0.583
Tc 0.000 0.000 0.500
Tc 0.333 0.667 0.167
Tc 0.667 0.333 0.833
```

[5]
VASP calculation (PBE-GGA) on Si4Bi after structural relaxation. Values from VASP.

Summary:
Calculated volume   153 Å³ per cell
Formation energy from raw total energies   174 kJ/mol of atoms
Space group   Pm-3m, No. 221

Structure (Quantum ESPRESSO input):
```
&SYSTEM
  ibrav = 0, nat = 5, ntyp = 2
/
ATOMIC_SPECIES
Si 28.09 Si.upf
Bi 208.98 Bi.upf
CELL_PARAMETERS angstrom
5.353 0.000 0.000
0.000 5.353 0.000
0.000 0.000 5.353
ATOMIC_POSITIONS crystal
Si 0.000 0.000 0.000
Si 0.000 0.500 0.500
Si 0.500 0.000 0.500
Si 0.500 0.500 0.000
Bi 0.500 0.500 0.500
```

[6]
VASP calculation (PBE-GGA) on SmLuPtPb after structural relaxation. Values from VASP.

Summary:
Calculated volume   397 Å³ per cell
Space group   F-43m, No. 216

Structure (Quantum ESPRESSO input):
```
&SYSTEM
  ibrav = 0, nat = 16, ntyp = 4
/
ATOMIC_SPECIES
Sm 150.36 Sm.upf
Lu 174.97 Lu.upf
Pt 195.08 Pt.upf
Pb 207.20 Pb.upf
CELL_PARAMETERS angstrom
7.349 0.000 0.000
0.000 7.349 0.000
0.000 0.000 7.349
ATOMIC_POSITIONS crystal
Sm 0.000 0.000 0.000
Sm 0.000 0.500 0.500
Sm 0.500 0.000 0.500
Sm 0.500 0.500 0.000
Lu 0.000 0.000 0.500
Lu 0.000 0.500 0.000
Lu 0.500 0.000 0.000
Lu 0.500 0.500 0.500
Pt 0.250 0.250 0.250
Pt 0.250 0.750 0.750
Pt 0.750 0.250 0.750
Pt 0.750 0.750 0.250
Pb 0.250 0.250 0.750
Pb 0.250 0.750 0.250
Pb 0.750 0.250 0.250
Pb 0.750 0.750 0.750
```

[7]
VASP calculation (PBE-GGA) on HfTiFe4 after structural relaxation. Values from VASP.

Summary:
Energy relative to the lowest polymorph listed for this composition   0.015 eV per atom
Calculated volume   162 Å³ per cell
Space group   P-3m1, No. 164

Structure (Quantum ESPRESSO input):
```
&SYSTEM
  ibrav = 0, nat = 12, ntyp = 3
/
ATOMIC_SPECIES
Hf 178.49 Hf.upf
Ti 47.87 Ti.upf
Fe 55.84 Fe.upf
CELL_PARAMETERS angstrom
4.869 0.000 0.000
-2.435 4.217 0.000
0.000 0.000 7.899
ATOMIC_POSITIONS crystal
Hf 0.333 0.667 0.070
Hf 0.667 0.333 0.930
Ti 0.333 0.667 0.445
Ti 0.667 0.333 0.555
Fe 0.000 0.000 0.000
Fe 0.000 0.000 0.500
Fe 0.169 0.338 0.745
Fe 0.169 0.831 0.745
Fe 0.338 0.169 0.255
Fe 0.662 0.831 0.745
Fe 0.831 0.169 0.255
Fe 0.831 0.662 0.255
```

[8]
VASP calculation (PBE-GGA) on BaPuTe2 after structural relaxation. Values from VASP.

Summary:
Energy relative to the lowest polymorph listed for this composition   0.162 eV per atom
Calculated volume   130 Å³ per cell
Formation energy from raw total energies   -117 kJ/mol of atoms
Space group   P4/mmm, No. 123

Structure (Quantum ESPRESSO input):
```
&SYSTEM
  ibrav = 0, nat = 4, ntyp = 3
/
ATOMIC_SPECIES
Ba 137.33 Ba.upf
Pu 244.00 Pu.upf
Te 127.60 Te.upf
CELL_PARAMETERS angstrom
3.989 0.000 0.000
0.000 3.989 0.000
0.000 0.000 8.181
ATOMIC_POSITIONS crystal
Ba 0.000 0.000 0.000
Pu 0.000 0.000 0.500
Te 0.500 0.500 0.275
Te 0.500 0.500 0.725
```

Summary of spin magnetization in μB/atom
0.0000 0.0000 0.0000 0.0000 0.0000 0.0278 0.9799 1.4816
(order as listed above)
Summary of DFT total energy in eV per atom
-4.6405 -6.6607 -5.7844 -3.7081 -3.3117 -5.4575 -8.9227 -6.8517
(order as listed above)
Summary of Fermi-level density of states in states/eV/cell
26.9 5.1 4.6 6.8 3.4 6.0 8.8 6.4
(order as listed above)